VASP calculation (GGA-PBE) on a relaxed K3NbSn crystal.

Results
**Total DFT energy (no corrections)**: -11.43 eV per cell
**E above lowest polymorph**: 0.000 eV/atom
**Formation energy**: 5.932 eV/f.u.

Cell: 6.651 6.651 6.651 Å, 90.00 90.00 90.00°
Sites, in units of the cell vectors:
K (0.000, 0.000, 0.500)
K (0.000, 0.500, 0.000)
K (0.500, 0.000, 0.000)
Nb (0.500, 0.500, 0.500)
Sn (0.000, 0.000, 0.000)

VASP calculation (GGA-PBE) on a relaxed TcMo crystal.

Results
**Total DFT energy (no corrections)**: -39.45 eV per cell
**E above lowest polymorph**: 0.661 eV/atom
**Formation energy**: 1.473 eV/f.u.

Cell: 3.949 3.949 5.186 Å, 90.00 90.00 120.00°
Sites, in units of the cell vectors:
Tc (0.000, 0.000, 0.000)
Tc (0.000, 0.000, 0.500)
Mo (0.333, 0.667, 0.250)
Mo (0.667, 0.333, 0.750)

VASP calculation (GGA-PBE) on a relaxed Mg2InH crystal.

Results
**Total DFT energy (no corrections)**: -18.81 eV per cell
**E above lowest polymorph**: 0.050 eV/atom

Cell: 4.787 4.650 6.833 Å, 90.00 109.06 90.00°
Sites, in units of the cell vectors:
Mg (0.162, 0.000, 0.321)
Mg (0.338, 0.500, 0.679)
Mg (0.662, 0.500, 0.321)
Mg (0.838, 0.000, 0.679)
In (0.000, 0.492, 0.000)
In (0.500, 0.992, 0.000)
H (0.000, 0.751, 0.500)
H (0.500, 0.251, 0.500)

VASP calculation (GGA-PBE) on a relaxed RbHgPdBr2 crystal.

Results
**Total DFT energy (no corrections)**: -13.43 eV per cell
**ΔE_f (raw)**: -0.72 eV/atom

Cell: 5.416 5.416 5.360 Å, 90.00 90.00 90.00°
Sites, in units of the cell vectors:
Rb (0.000, 0.000, 0.000)
Hg (0.500, 0.500, 0.000)
Pd (0.500, 0.500, 0.500)
Br (0.000, 0.500, 0.500)
Br (0.500, 0.000, 0.500)

VASP calculation (GGA-PBE) on a relaxed BaNa3Hg3 crystal.

Results
**Total DFT energy (no corrections)**: -16.92 eV per cell
**E above lowest polymorph**: 0.058 eV/atom
**Formation energy**: -1.672 eV/f.u.

Cell: 9.059 9.059 9.059 Å, 53.18 53.18 53.18°
Sites, in units of the cell vectors:
Ba (0.157, 0.157, 0.157)
Ba (0.843, 0.843, 0.843)
Na (0.067, 0.585, 0.238)
Na (0.238, 0.067, 0.585)
Na (0.415, 0.762, 0.933)
Na (0.585, 0.238, 0.067)
Na (0.762, 0.933, 0.415)
Na (0.933, 0.415, 0.762)
Hg (0.210, 0.662, 0.438)
Hg (0.338, 0.562, 0.790)
Hg (0.438, 0.210, 0.662)
Hg (0.562, 0.790, 0.338)
Hg (0.662, 0.438, 0.210)
Hg (0.790, 0.338, 0.562)

VASP calculation (GGA-PBE) on a relaxed Cs2LiTlI6 crystal.

Results
**Total DFT energy (no corrections)**: -24.65 eV per cell
**ΔE_f (raw)**: -0.94 eV/atom

Cell: 8.541 8.541 8.541 Å, 119.94 119.94 90.10°
Sites, in units of the cell vectors:
Cs (0.250, 0.750, 0.500)
Cs (0.750, 0.250, 0.500)
Li (0.000, 0.000, 0.000)
Tl (0.500, 0.500, 0.000)
I (0.247, 0.247, 0.000)
I (0.248, 0.248, 0.497)
I (0.248, 0.752, 0.000)
I (0.752, 0.248, 0.000)
I (0.752, 0.752, 0.503)
I (0.753, 0.753, 0.000)

VASP calculation (GGA-PBE) on a relaxed CaSbTe2Pb crystal.

Results
**Total DFT energy (no corrections)**: -15.57 eV per cell
**ΔE_f (raw)**: 0.11 eV/atom
**E above lowest polymorph**: 0.000 eV/atom

Cell: 5.869 5.869 5.751 Å, 90.00 90.00 90.00°
Sites, in units of the cell vectors:
Ca (0.000, 0.000, 0.000)
Sb (0.500, 0.500, 0.000)
Te (0.000, 0.500, 0.500)
Te (0.500, 0.000, 0.500)
Pb (0.500, 0.500, 0.500)

VASP calculation (GGA-PBE) on a relaxed LaPrCo10 crystal.

Results
**Total DFT energy (no corrections)**: -80.97 eV per cell
**Formation energy**: -0.201 eV/f.u.

Cell: 3.954 5.013 8.757 Å, 90.00 90.00 90.00°
Sites, in units of the cell vectors:
La (0.000, 0.000, 0.000)
Pr (0.000, 0.500, 0.500)
Co (0.000, 0.000, 0.325)
Co (0.000, 0.000, 0.675)
Co (0.000, 0.500, 0.166)
Co (0.000, 0.500, 0.834)
Co (0.500, 0.000, 0.500)
Co (0.500, 0.254, 0.254)
Co (0.500, 0.254, 0.746)
Co (0.500, 0.500, 0.000)
Co (0.500, 0.746, 0.254)
Co (0.500, 0.746, 0.746)

VASP calculation (GGA-PBE) on a relaxed BeB2Pd crystal.

Results
**Total DFT energy (no corrections)**: -75.28 eV per cell
**Formation energy**: 3.454 eV/f.u.

Cell: 6.044 6.044 4.266 Å, 90.00 90.00 90.00°
Sites, in units of the cell vectors:
Be (0.000, 0.000, 0.000)
Be (0.000, 0.500, 0.250)
Be (0.500, 0.000, 0.750)
Be (0.500, 0.500, 0.500)
B (0.239, 0.250, 0.125)
B (0.250, 0.739, 0.375)
B (0.250, 0.761, 0.875)
B (0.261, 0.250, 0.625)
B (0.739, 0.750, 0.625)
B (0.750, 0.239, 0.875)
B (0.750, 0.261, 0.375)
B (0.761, 0.750, 0.125)
Pd (0.000, 0.000, 0.500)
Pd (0.000, 0.500, 0.750)
Pd (0.500, 0.000, 0.250)
Pd (0.500, 0.500, 0.000)

VASP calculation (GGA-PBE) on a relaxed LaTiGe2Te crystal.

Results
**Total DFT energy (no corrections)**: -25.60 eV per cell
**ΔE_f (raw)**: -0.08 eV/atom

Cell: 4.940 4.940 5.596 Å, 90.00 90.00 90.00°
Sites, in units of the cell vectors:
La (0.000, 0.000, 0.000)
Ti (0.000, 0.000, 0.500)
Ge (0.000, 0.500, 0.500)
Ge (0.500, 0.000, 0.500)
Te (0.500, 0.500, 0.000)

VASP calculation (GGA-PBE) on a relaxed Ac2Nd4Sm3 crystal.

Results
**Total DFT energy (no corrections)**: -80.36 eV per cell
**E above lowest polymorph**: 0.064 eV/atom
**Formation energy**: 1.268 eV/f.u.

Cell: 8.878 8.915 9.088 Å, 90.00 111.46 90.00°
Sites, in units of the cell vectors:
Ac (0.175, 0.153, 0.049)
Ac (0.175, 0.347, 0.549)
Ac (0.825, 0.653, 0.451)
Ac (0.825, 0.847, 0.951)
Nd (0.085, 0.537, 0.868)
Nd (0.085, 0.963, 0.368)
Nd (0.483, 0.137, 0.855)
Nd (0.483, 0.363, 0.355)
Nd (0.517, 0.637, 0.645)
Nd (0.517, 0.863, 0.145)
Nd (0.915, 0.037, 0.632)
Nd (0.915, 0.463, 0.132)
Sm (0.248, 0.674, 0.252)
Sm (0.248, 0.826, 0.752)
Sm (0.500, 0.000, 0.500)
Sm (0.500, 0.500, 0.000)
Sm (0.752, 0.174, 0.248)
Sm (0.752, 0.326, 0.748)

VASP calculation (GGA-PBE) on a relaxed BePS crystal.

Results
**Total DFT energy (no corrections)**: -54.71 eV per cell
**ΔE_f (raw)**: -0.14 eV/atom

Cell: 15.244 3.189 4.758 Å, 90.00 106.51 90.00°
Sites, in units of the cell vectors:
Be (0.171, 0.000, 0.125)
Be (0.329, 0.500, 0.875)
Be (0.671, 0.500, 0.125)
Be (0.829, 0.000, 0.875)
P (0.180, 0.500, 0.762)
P (0.320, 0.000, 0.238)
P (0.680, 0.000, 0.762)
P (0.820, 0.500, 0.238)
S (0.113, 0.500, 0.309)
S (0.387, 0.000, 0.691)
S (0.613, 0.000, 0.309)
S (0.887, 0.500, 0.691)

VASP calculation (GGA-PBE) on a relaxed CuAuCl2 crystal.

Results
**Total DFT energy (no corrections)**: -11.17 eV per cell
**ΔE_f (raw)**: -0.03 eV/atom
**E above lowest polymorph**: 0.202 eV/atom

Cell: 3.576 3.263 7.814 Å, 90.00 100.12 90.00°
Sites, in units of the cell vectors:
Cu (0.000, 0.000, 0.000)
Au (0.000, 0.000, 0.500)
Cl (0.033, 0.500, 0.789)
Cl (0.967, 0.500, 0.211)

VASP calculation (GGA-PBE) on a relaxed PaTl3Pd2S6 crystal.

Results
**Total DFT energy (no corrections)**: -59.23 eV per cell
**ΔE_f (raw)**: -0.62 eV/atom

Cell: 6.359 6.359 8.149 Å, 97.49 97.49 120.05°
Sites, in units of the cell vectors:
Pa (0.000, 0.000, 0.000)
Tl (0.165, 0.835, 0.500)
Tl (0.500, 0.500, 0.500)
Tl (0.835, 0.165, 0.500)
Pd (0.334, 0.666, 0.000)
Pd (0.666, 0.334, 0.000)
S (0.061, 0.415, 0.185)
S (0.291, 0.291, 0.815)
S (0.415, 0.061, 0.185)
S (0.585, 0.939, 0.815)
S (0.709, 0.709, 0.185)
S (0.939, 0.585, 0.815)

VASP calculation (GGA-PBE) on a relaxed CeLuZn crystal.

Results
**Total DFT energy (no corrections)**: -11.30 eV per cell
**E above lowest polymorph**: 0.275 eV/atom
**Formation energy**: 0.428 eV/f.u.

Cell: 5.172 5.172 2.956 Å, 90.00 90.00 120.00°
Sites, in units of the cell vectors:
Ce (0.000, 0.000, 0.000)
Lu (0.333, 0.667, 0.004)
Zn (0.667, 0.333, 0.502)

VASP calculation (GGA-PBE) on a relaxed P2IrRhS crystal.

Results
**Total DFT energy (no corrections)**: -26.53 eV per cell
**ΔE_f (raw)**: 0.93 eV/atom
**E above lowest polymorph**: 0.012 eV/atom

Cell: 4.460 4.460 4.878 Å, 90.00 90.00 90.00°
Sites, in units of the cell vectors:
P (0.000, 0.500, 0.000)
P (0.500, 0.000, 0.000)
Ir (0.000, 0.000, 0.000)
Rh (0.500, 0.500, 0.500)
S (0.000, 0.000, 0.500)

VASP calculation (GGA-PBE) on a relaxed Sm7PtS5 crystal.

Results
**Total DFT energy (no corrections)**: -164.77 eV per cell
**ΔE_f (raw)**: -1.74 eV/atom

Cell: 3.959 24.122 6.905 Å, 90.00 106.57 90.00°
Sites, in units of the cell vectors:
Sm (0.039, 0.250, 0.077)
Sm (0.137, 0.536, 0.275)
Sm (0.137, 0.964, 0.275)
Sm (0.307, 0.177, 0.614)
Sm (0.307, 0.323, 0.614)
Sm (0.412, 0.607, 0.824)
Sm (0.412, 0.893, 0.824)
Sm (0.588, 0.107, 0.176)
Sm (0.588, 0.393, 0.176)
Sm (0.693, 0.677, 0.386)
Sm (0.693, 0.823, 0.386)
Sm (0.863, 0.036, 0.725)
Sm (0.863, 0.464, 0.725)
Sm (0.961, 0.750, 0.923)
Pt (0.301, 0.750, 0.603)
Pt (0.699, 0.250, 0.397)
S (0.049, 0.642, 0.098)
S (0.049, 0.858, 0.098)
S (0.226, 0.071, 0.451)
S (0.226, 0.429, 0.451)
S (0.500, 0.000, 0.000)
S (0.500, 0.500, 0.000)
S (0.774, 0.571, 0.549)
S (0.774, 0.929, 0.549)
S (0.951, 0.142, 0.902)
S (0.951, 0.358, 0.902)

VASP calculation (GGA-PBE) on a relaxed Mn2CrPIr crystal.

Results
**Total DFT energy (no corrections)**: -39.28 eV per cell
**Formation energy**: 2.955 eV/f.u.

Cell: 4.060 4.060 4.152 Å, 90.00 90.00 90.00°
Sites, in units of the cell vectors:
Mn (0.000, 0.500, 0.000)
Mn (0.500, 0.000, 0.000)
Cr (0.000, 0.000, 0.500)
P (0.000, 0.000, 0.000)
Ir (0.500, 0.500, 0.500)

VASP calculation (GGA-PBE) on a relaxed MnPdPt crystal.

Results
**Total DFT energy (no corrections)**: -79.73 eV per cell
**E above lowest polymorph**: 0.399 eV/atom
**Formation energy**: 0.470 eV/f.u.

Cell: 16.005 2.761 4.075 Å, 90.00 98.42 90.00°
Sites, in units of the cell vectors:
Mn (0.206, 0.000, 0.387)
Mn (0.294, 0.500, 0.613)
Mn (0.706, 0.500, 0.387)
Mn (0.794, 0.000, 0.613)
Pd (0.143, 0.500, 0.839)
Pd (0.357, 0.000, 0.161)
Pd (0.643, 0.000, 0.839)
Pd (0.857, 0.500, 0.161)
Pt (0.051, 0.000, 0.278)
Pt (0.449, 0.500, 0.722)
Pt (0.551, 0.500, 0.278)
Pt (0.949, 0.000, 0.722)

| no. | DOS at the Fermi energy (states/eV/f.u.) |
| --- | --- |
| 1 | 6.86 |
| 2 | 1.38 |
| 3 | 1.26 |
| 4 | 0.79 |
| 5 | 3.19 |
| 6 | 0.63 |
| 7 | 7.23 |
| 8 | 19.72 |
| 9 | 1.45 |
| 10 | 5.50 |
| 11 | 12.73 |
| 12 | 1.05 |
| 13 | 1.20 |
| 14 | 7.64 |
| 15 | 5.84 |
| 16 | 4.05 |
| 17 | 7.22 |
| 18 | 8.10 |
| 19 | 3.00 |